The following is a DFT calculation (meta-GGA SCAN) of a crystal of CuIrRh2 relaxed with PBEsol.

a = 2.675 Å, b = 2.675 Å, c = 8.682 Å
α = 81.14°, β = 81.14°, γ = 60.00°
Sites, in units of the cell vectors:
Ir (0.000, 0.000, 0.000)
Rh (0.248, 0.248, 0.255)
Rh (0.752, 0.752, 0.745)
Cu (0.500, 0.500, 0.500)

Total moment, μB/atom: 0.00
Volume, Å³ per atom: 13.2
Space group: R-3m (166)
DOS(E_F), states/eV/atom: 0.870
Formation energy, meV per atom: 18



The following is a DFT calculation (meta-GGA SCAN) of a crystal of Cu2IrRu relaxed with PBEsol.

a = 2.636 Å, b = 2.636 Å, c = 8.622 Å
α = 81.21°, β = 81.21°, γ = 60.00°
Sites, in units of the cell vectors:
Cu (0.251, 0.251, 0.248)
Cu (0.749, 0.749, 0.752)
Ir (0.500, 0.500, 0.500)
Ru (0.000, 0.000, 0.000)

Total moment, μB/atom: 0.00
Volume, Å³ per atom: 12.8
Space group: R-3m (166)
DOS(E_F), states/eV/atom: 0.979
Formation energy, meV per atom: 193



The following is a DFT calculation (meta-GGA SCAN) of a crystal of CuIr2Ru relaxed with PBEsol.

a = 3.732 Å, b = 3.790 Å, c = 3.790 Å
α = 90.00°, β = 90.00°, γ = 90.00°
Site moments in Bohr magnetons follow the coordinates.
Sites, in units of the cell vectors:
Cu (0.500, 0.000, 0.000)  0.20
Ir (0.000, 0.000, 0.500)  0.44
Ir (0.000, 0.500, 0.000)  0.44
Ru (0.500, 0.500, 0.500)  1.12

Total moment, μB/atom: 0.53
Volume, Å³ per atom: 13.4
Space group: P4/mmm (123)
DOS(E_F), states/eV/atom: 1.037
Formation energy, meV per atom: 233



The following is a DFT calculation (meta-GGA SCAN) of a crystal of CuIr2Ru relaxed with PBEsol.

a = 2.704 Å, b = 4.482 Å, c = 4.482 Å
α = 90.00°, β = 90.00°, γ = 90.00°
Sites, in units of the cell vectors:
Cu (0.500, 0.000, 0.000)
Ir (0.000, 0.000, 0.500)
Ir (0.000, 0.500, 0.000)
Ru (0.500, 0.500, 0.500)

Total moment, μB/atom: 0.00
Volume, Å³ per atom: 13.6
Space group: P4/mmm (123)
DOS(E_F), states/eV/atom: 1.528
Formation energy, meV per atom: 410



For the records above, the corresponding ΔE to the lowest computed polymorph values read 16, 133, 232, 409 meV per atom.
For the records above, the corresponding calculated density values read 14477, 13666, 17011, 16780 kg/m3.
For the records above, the corresponding raw total energy values read -153.77, -135.55, -191.29, -190.58 eV/cell.